Record 1
Compound: MgTl3Hg
Source: the Alexandria database
Functional: GGA-PBE
Structure: relaxed Values from VASP.

Output
As for the crystal system: cubic. For the total magnetization, the calculation gives 0.00 μB per formula unit. As for the formation energy: 1.10 eV per formula unit. As for the total energy: -1.58 eV per atom.

Geometry as Quantum ESPRESSO input:
```
&SYSTEM
  ibrav = 0, nat = 5, ntyp = 3
/
ATOMIC_SPECIES
Mg 24.30 Mg.upf
Tl 204.38 Tl.upf
Hg 200.59 Hg.upf
ATOMIC_POSITIONS angstrom
Mg 0.000 0.000 0.000
Tl 0.000 0.000 2.788
Tl 0.000 2.788 0.000
Tl 2.788 0.000 0.000
Hg 2.788 2.788 2.788
CELL_PARAMETERS angstrom
5.577 0.000 0.000
0.000 5.577 0.000
0.000 0.000 5.577
```

---

Record 2
Compound: LaErCo
Source: the Alexandria database
Functional: GGA-PBE
Structure: relaxed Values from VASP.

Output
As for the crystal system: tetragonal. For the total magnetization, the calculation gives 0.65 μB per formula unit. As for the formation energy: -0.19 eV per formula unit. As for the total energy: -5.60 eV per atom.

Geometry as Quantum ESPRESSO input:
```
&SYSTEM
  ibrav = 0, nat = 6, ntyp = 3
/
ATOMIC_SPECIES
La 138.91 La.upf
Er 167.26 Er.upf
Co 58.93 Co.upf
ATOMIC_POSITIONS angstrom
La 0.000 0.000 0.000
La 1.708 1.708 6.510
Er 0.000 0.000 3.289
Er 1.708 1.708 9.799
Co 0.000 0.000 8.295
Co 1.708 1.708 1.784
CELL_PARAMETERS angstrom
3.416 0.000 0.000
0.000 3.416 0.000
0.000 0.000 13.021
```

---

Record 3
Compound: ZrTlCo2I
Source: the Alexandria database
Functional: GGA-PBE
Structure: relaxed Values from VASP.

Output
As for the crystal system: tetragonal. For the total magnetization, the calculation gives 3.35 μB per formula unit. The formation energy without anion corrections is 1.2958 eV/atom. As for the total energy: -4.04 eV per atom.

Geometry as Quantum ESPRESSO input:
```
&SYSTEM
  ibrav = 0, nat = 5, ntyp = 4
/
ATOMIC_SPECIES
Zr 91.22 Zr.upf
Tl 204.38 Tl.upf
Co 58.93 Co.upf
I 126.90 I.upf
ATOMIC_POSITIONS angstrom
Zr 0.000 0.000 0.000
Tl 0.000 0.000 2.769
Co 0.000 2.435 2.769
Co 2.435 0.000 2.769
I 2.435 2.435 0.000
CELL_PARAMETERS angstrom
4.871 0.000 0.000
0.000 4.871 0.000
0.000 0.000 5.539
```

---

Record 4
Compound: Nd2GaBi
Source: the Alexandria database
Functional: GGA-PBE
Structure: relaxed Values from VASP.

Output
As for the crystal system: monoclinic. For the total magnetization, the calculation gives 0.00 μB per formula unit. As for the formation energy: -2.84 eV per formula unit. As for the total energy: -4.82 eV per atom.

Geometry as Quantum ESPRESSO input:
```
&SYSTEM
  ibrav = 0, nat = 8, ntyp = 3
/
ATOMIC_SPECIES
Nd 144.24 Nd.upf
Ga 69.72 Ga.upf
Bi 208.98 Bi.upf
ATOMIC_POSITIONS angstrom
Nd 0.018 1.080 3.661
Nd 1.601 3.241 0.532
Nd 1.871 1.080 8.075
Nd 3.454 3.241 4.946
Ga -1.594 1.080 6.856
Ga 5.066 3.241 1.752
Bi 0.386 3.241 6.097
Bi 3.087 1.080 2.511
CELL_PARAMETERS angstrom
6.294 0.000 0.000
0.000 4.322 0.000
-2.821 0.000 8.608
```

---

Record 5
Compound: NaLiPmZn
Source: the Alexandria database
Functional: GGA-PBE
Structure: relaxed Values from VASP.

Output
As for the crystal system: cubic. For the total magnetization, the calculation gives 0.00 μB per formula unit. As for the formation energy: 0.21 eV per formula unit. As for the total energy: -2.26 eV per atom.

Geometry as Quantum ESPRESSO input:
```
&SYSTEM
  ibrav = 0, nat = 16, ntyp = 4
/
ATOMIC_SPECIES
Na 22.99 Na.upf
Li 6.94 Li.upf
Pm 145.00 Pm.upf
Zn 65.41 Zn.upf
ATOMIC_POSITIONS angstrom
Na 0.000 0.000 0.000
Na 0.000 3.635 3.635
Na 3.635 0.000 3.635
Na 3.635 3.635 0.000
Li 1.818 1.818 5.453
Li 1.818 5.453 1.818
Li 5.453 1.818 1.818
Li 5.453 5.453 5.453
Pm 0.000 0.000 3.635
Pm 0.000 3.635 0.000
Pm 3.635 0.000 0.000
Pm 3.635 3.635 3.635
Zn 1.818 1.818 1.818
Zn 1.818 5.453 5.453
Zn 5.453 1.818 5.453
Zn 5.453 5.453 1.818
CELL_PARAMETERS angstrom
7.270 0.000 0.000
0.000 7.270 0.000
0.000 0.000 7.270
```

---

Record 6
Compound: Cu2I4Br
Source: the Alexandria database
Functional: GGA-PBE
Structure: relaxed Values from VASP.

Output
As for the crystal system: orthorhombic. For the total magnetization, the calculation gives 0.00 μB per formula unit. The formation energy without anion corrections is 0.0153 eV/atom. As for the total energy: -2.28 eV per atom.

Geometry as Quantum ESPRESSO input:
```
&SYSTEM
  ibrav = 0, nat = 14, ntyp = 3
/
ATOMIC_SPECIES
Cu 63.55 Cu.upf
I 126.90 I.upf
Br 79.90 Br.upf
ATOMIC_POSITIONS angstrom
Cu 1.970 4.413 12.328
Cu 1.970 4.413 22.923
Cu 1.970 -4.413 0.577
Cu 1.970 -4.413 11.173
I 1.970 4.968 17.625
I 1.970 3.136 1.878
I 1.970 3.136 9.872
I 1.970 0.000 0.000
I 1.970 0.000 11.750
I 1.970 -3.136 13.629
I 1.970 -3.136 21.622
I 1.970 -4.968 5.875
Br 1.970 2.454 17.625
Br 1.970 -2.454 5.875
CELL_PARAMETERS angstrom
1.970 -6.332 0.000
1.970 6.332 0.000
0.000 0.000 23.500
```

---

What did the first record say?
Compound: MgTl3Hg
Source: the Alexandria database
Functional: GGA-PBE
Structure: relaxed Values from VASP.

Output
As for the crystal system: cubic. For the total magnetization, the calculation gives 0.00 μB per formula unit. As for the formation energy: 1.10 eV per formula unit. As for the total energy: -1.58 eV per atom.

Geometry as Quantum ESPRESSO input:
```
&SYSTEM
  ibrav = 0, nat = 5, ntyp = 3
/
ATOMIC_SPECIES
Mg 24.30 Mg.upf
Tl 204.38 Tl.upf
Hg 200.59 Hg.upf
ATOMIC_POSITIONS angstrom
Mg 0.000 0.000 0.000
Tl 0.000 0.000 2.788
Tl 0.000 2.788 0.000
Tl 2.788 0.000 0.000
Hg 2.788 2.788 2.788
CELL_PARAMETERS angstrom
5.577 0.000 0.000
0.000 5.577 0.000
0.000 0.000 5.577
```

---

Repeat the first record exactly.
Compound: MgTl3Hg
Source: the Alexandria database
Functional: GGA-PBE
Structure: relaxed Values from VASP.

Output
As for the crystal system: cubic. For the total magnetization, the calculation gives 0.00 μB per formula unit. As for the formation energy: 1.10 eV per formula unit. As for the total energy: -1.58 eV per atom.

Geometry as Quantum ESPRESSO input:
```
&SYSTEM
  ibrav = 0, nat = 5, ntyp = 3
/
ATOMIC_SPECIES
Mg 24.30 Mg.upf
Tl 204.38 Tl.upf
Hg 200.59 Hg.upf
ATOMIC_POSITIONS angstrom
Mg 0.000 0.000 0.000
Tl 0.000 0.000 2.788
Tl 0.000 2.788 0.000
Tl 2.788 0.000 0.000
Hg 2.788 2.788 2.788
CELL_PARAMETERS angstrom
5.577 0.000 0.000
0.000 5.577 0.000
0.000 0.000 5.577
```